Entry 1:
Computed, not measured: a relaxed LiSnMo2 crystal at the PBE-GGA level of DFT.

a = 4.5052 Å, b = 4.5052 Å, c = 4.5052 Å
α = 60.00°, β = 60.00°, γ = 60.00°
With the nearest neighbours (Å) after each atom.
Fractional positions:
Li (0.0000, 0.0000, 0.0000)  4 Sn 2.76, 4 Mo 2.76
Sn (0.7500, 0.7500, 0.7500)  4 Mo 2.76, 4 Li 2.76
Mo (0.2500, 0.2500, 0.2500)  4 Mo 2.76, 4 Li 2.76
Mo (0.5000, 0.5000, 0.5000)  4 Sn 2.76, 4 Mo 2.76

Its total magnetic moment is 0.00 μB/f.u. As for the volume: 65 Å³ per cell.



Entry 2:
Computed, not measured: a relaxed Sc2Hg2Au crystal at the PBE-GGA level of DFT.

a = 6.7873 Å, b = 6.7873 Å, c = 6.7873 Å
α = 141.63°, β = 141.63°, γ = 55.39°
With the nearest neighbours (Å) after each atom.
Fractional positions:
Sc (0.2500, 0.7500, 0.5000)  4 Hg 2.80
Sc (0.7500, 0.2500, 0.5000)  4 Hg 2.80
Hg (0.1088, 0.1088, 0.0000)  1 Hg 2.62, 4 Sc 2.80
Hg (0.8912, 0.8912, 0.0000)  1 Hg 2.62, 4 Sc 2.80
Au (0.5000, 0.5000, 0.0000)  8 Hg 3.41, 8 Sc 3.74

Its total magnetic moment is 0.62 μB/f.u. The calculated formation energy comes out at 0.108 eV/atom. As for the volume: 120 Å³ per cell.



Entry 3:
Computed, not measured: a relaxed HfScCoPb crystal at the PBE-GGA level of DFT.

a = 4.7861 Å, b = 4.7861 Å, c = 4.7861 Å
α = 60.00°, β = 60.00°, γ = 60.00°
With the nearest neighbours (Å) after each atom.
Fractional positions:
Hf (0.0000, 0.0000, 0.0000)  4 Co 2.93, 4 Sc 2.93
Sc (0.2500, 0.2500, 0.2500)  4 Hf 2.93, 4 Pb 2.93
Co (0.7500, 0.7500, 0.7500)  4 Hf 2.93, 4 Pb 2.93
Pb (0.5000, 0.5000, 0.5000)  4 Co 2.93, 4 Sc 2.93

Its polymorph energy (0 for the lowest one) is 0.00 kcal/mol of atoms. Its total magnetic moment is 2.00 μB/f.u. As for the volume: 78 Å³ per cell.



Number 1: calculated total energy -6.801 eV per atom. Number 2: calculated total energy -3.195 eV per atom. Number 3: calculated total energy -6.591 eV per atom.